No. 1
# PBE Rb2Sr2N, relaxed
data_Rb2Sr2N
_chemical_formula_sum 'Rb4 Sr4 N2'
_space_group_name_H-M_alt 'I 4/m m m'
_space_group_IT_number 139
_space_group_name_Hall '-I 4 2'
_cell_length_a 5.052
_cell_length_b 5.052
_cell_length_c 23.688
_cell_angle_alpha 90.00
_cell_angle_beta 90.00
_cell_angle_gamma 90.00
loop_
_atom_site_label
_atom_site_type_symbol
_atom_site_fract_x
_atom_site_fract_y
_atom_site_fract_z
Rb1 Rb 0.000 0.000 0.077
Sr1 Sr 0.000 0.500 0.250
N1 N 0.000 0.000 0.500
# Total moment   0.318 μB per atom
# Energy   -1.696 eV per atom
# Formation energy without anion corrections   1029 meV/atom

No. 2
# PBE Mg5V3Au12, relaxed
data_Mg5V3Au12
_chemical_formula_sum 'Mg40 V24 Au96'
_space_group_name_H-M_alt 'I a -3 d'
_space_group_IT_number 230
_space_group_name_Hall '-I 4bd 2c 3'
_cell_length_a 15.479
_cell_length_b 15.479
_cell_length_c 15.479
_cell_angle_alpha 90.00
_cell_angle_beta 90.00
_cell_angle_gamma 90.00
loop_
_atom_site_label
_atom_site_type_symbol
_atom_site_fract_x
_atom_site_fract_y
_atom_site_fract_z
Mg1 Mg 0.000 0.000 0.000
Mg2 Mg 0.000 0.250 0.375
V1 V 0.000 0.250 0.125
Au1 Au 0.009 0.076 0.652
# Total moment   0.406 μB per atom
# Energy   -3.645 eV per atom

No. 3
# PBE Y2CdSe, relaxed
data_Y2CdSe
_chemical_formula_sum 'Y6 Cd3 Se3'
_space_group_name_H-M_alt 'R 3 m'
_space_group_IT_number 160
_space_group_name_Hall 'R 3 -2"'
_cell_length_a 3.8280
_cell_length_b 3.8280
_cell_length_c 25.3199
_cell_angle_alpha 90.00
_cell_angle_beta 90.00
_cell_angle_gamma 120.00
loop_
_atom_site_label
_atom_site_type_symbol
_atom_site_fract_x
_atom_site_fract_y
_atom_site_fract_z
Y1 Y 0.0000 0.0000 0.0000
Y2 Y 0.0000 0.0000 0.1521
Cd1 Cd 0.0000 0.0000 0.5753
Se1 Se 0.0000 0.0000 0.7433
# Total moment   0.081 μB per atom
# Energy   -5.260 eV per atom
# Formation energy without anion corrections   -928 meV/atom

No. 4
# PBE LiMg2In5, relaxed
data_LiMg2In5
_chemical_formula_sum 'Li2 Mg4 In10'
_space_group_name_H-M_alt 'I 4/m m m'
_space_group_IT_number 139
_space_group_name_Hall '-I 4 2'
_cell_length_a 7.609
_cell_length_b 7.609
_cell_length_c 6.625
_cell_angle_alpha 90.00
_cell_angle_beta 90.00
_cell_angle_gamma 90.00
loop_
_atom_site_label
_atom_site_type_symbol
_atom_site_fract_x
_atom_site_fract_y
_atom_site_fract_z
Li1 Li 0.000 0.000 0.000
Mg1 Mg 0.000 0.500 0.000
In1 In 0.000 0.000 0.500
In2 In 0.250 0.250 0.250
# Total moment   0.000 μB per atom
# Energy   -2.432 eV per atom

No. 5
# PBE Sr2Tl8Hg3, relaxed
data_Sr2Tl8Hg3
_chemical_formula_sum 'Sr4 Tl16 Hg6'
_space_group_name_H-M_alt 'C 1 2/m 1'
_space_group_IT_number 12
_space_group_name_Hall '-C 2y'
_cell_length_a 14.039
_cell_length_b 10.529
_cell_length_c 5.856
_cell_angle_alpha 90.00
_cell_angle_beta 108.18
_cell_angle_gamma 90.00
loop_
_atom_site_label
_atom_site_type_symbol
_atom_site_fract_x
_atom_site_fract_y
_atom_site_fract_z
Sr1 Sr 0.161 0.000 0.090
Tl1 Tl 0.066 0.500 0.771
Tl2 Tl 0.150 0.234 0.617
Tl3 Tl 0.179 0.500 0.318
Hg1 Hg 0.000 0.000 0.500
Hg2 Hg 0.000 0.244 0.000
# Total moment   0.000 μB per atom
# Energy   -1.919 eV per atom

No. 6
# PBE Be2Ni2Hg, relaxed
data_Be2Ni2Hg
_chemical_formula_sum 'Be4 Ni4 Hg2'
_space_group_name_H-M_alt 'P 4/m b m'
_space_group_IT_number 127
_space_group_name_Hall '-P 4 2ab'
_cell_length_a 6.694
_cell_length_b 6.694
_cell_length_c 2.642
_cell_angle_alpha 90.00
_cell_angle_beta 90.00
_cell_angle_gamma 90.00
loop_
_atom_site_label
_atom_site_type_symbol
_atom_site_fract_x
_atom_site_fract_y
_atom_site_fract_z
Be1 Be 0.155 0.345 0.000
Ni1 Ni 0.131 0.631 0.500
Hg1 Hg 0.000 0.000 0.500
# Total moment   0.000 μB per atom
# Energy   -3.848 eV per atom

No. 7
# PBE SrAc2Sc, relaxed
data_SrAc2Sc
_chemical_formula_sum 'Sr4 Ac8 Sc4'
_space_group_name_H-M_alt 'F m -3 m'
_space_group_IT_number 225
_space_group_name_Hall '-F 4 2 3'
_cell_length_a 8.623
_cell_length_b 8.623
_cell_length_c 8.623
_cell_angle_alpha 90.00
_cell_angle_beta 90.00
_cell_angle_gamma 90.00
loop_
_atom_site_label
_atom_site_type_symbol
_atom_site_fract_x
_atom_site_fract_y
_atom_site_fract_z
Sr1 Sr 0.000 0.000 0.000
Ac1 Ac 0.250 0.250 0.250
Sc1 Sc 0.000 0.000 0.500
# Total moment   0.000 μB per atom
# Energy   -3.870 eV per atom